Density functional theory data (PBE) for a geometry-optimized NaCrGeRh structure.

Computed properties:
formation energy = 0.24 eV/atom
theoretical density = 6763 kg/m³
offset from the most stable computed form = 205 meV/atom
density of states at the Fermi level = 0.828 states/eV/atom
SG = No. 119

a = 4.503 Å, b = 4.503 Å, c = 4.503 Å
α = 122.88°, β = 122.88°, γ = 85.08°
Fractional positions:
Na 0.000 0.000 0.000
Cr 0.500 0.500 0.000
Ge 0.750 0.250 0.500
Rh 0.250 0.750 0.500

***

Density functional theory data (PBE) for a geometry-optimized NaCrGeRh structure.

Computed properties:
formation energy = 0.13 eV/atom
theoretical density = 6860 kg/m³
offset from the most stable computed form = 92 meV/atom
density of states at the Fermi level = 0.398 states/eV/atom
SG = No. 216

a = 4.410 Å, b = 4.410 Å, c = 4.410 Å
α = 60.00°, β = 60.00°, γ = 60.00°
Fractional positions:
Na 0.000 0.000 0.000
Cr 0.750 0.750 0.750
Ge 0.500 0.500 0.500
Rh 0.250 0.250 0.250

***

Density functional theory data (PBE) for a geometry-optimized NaCrGeRh structure.

Computed properties:
formation energy = 0.04 eV/atom
theoretical density = 6382 kg/m³
offset from the most stable computed form = 0 meV/atom
density of states at the Fermi level = 0.883 states/eV/atom
SG = No. 99

a = 2.825 Å, b = 2.825 Å, c = 8.168 Å
α = 90.00°, β = 90.00°, γ = 90.00°
Fractional positions:
Na 0.000 0.000 0.000
Cr 0.000 0.000 0.526
Ge 0.500 0.500 0.303
Rh 0.500 0.500 0.704

***

Density functional theory data (PBE) for a geometry-optimized NaCrGeRh structure.

Computed properties:
formation energy = 0.22 eV/atom
theoretical density = 5090 kg/m³
offset from the most stable computed form = 179 meV/atom
density of states at the Fermi level = 0.762 states/eV/atom
SG = No. 160

a = 6.273 Å, b = 6.273 Å, c = 6.273 Å
α = 37.42°, β = 37.42°, γ = 37.42°
Fractional positions:
Na 0.000 0.000 0.000
Cr 0.184 0.184 0.184
Ge 0.799 0.799 0.799
Rh 0.544 0.544 0.544

***

Density functional theory data (PBE) for a geometry-optimized NaCrGeRh structure.

Computed properties:
formation energy = 0.20 eV/atom
theoretical density = 6332 kg/m³
offset from the most stable computed form = 157 meV/atom
density of states at the Fermi level = 0.527 states/eV/atom
SG = No. 8

a = 5.331 Å, b = 5.331 Å, c = 4.742 Å
α = 109.82°, β = 109.82°, γ = 31.39°
Fractional positions:
Na 0.000 0.000 0.000
Cr 0.792 0.792 0.361
Ge 0.229 0.229 0.797
Rh 0.524 0.524 0.508

***

Density functional theory data (PBE) for a geometry-optimized NaCrGeRh structure.

Computed properties:
formation energy = 0.07 eV/atom
theoretical density = 4705 kg/m³
offset from the most stable computed form = 36 meV/atom
density of states at the Fermi level = 0.959 states/eV/atom
SG = No. 8

a = 4.339 Å, b = 4.339 Å, c = 5.962 Å
α = 111.23°, β = 111.23°, γ = 60.14°
Fractional positions:
Na 0.000 0.000 0.000
Cr 0.505 0.505 0.519
Ge 0.822 0.822 0.464
Rh 0.178 0.178 0.530

***

Density functional theory data (PBE) for a geometry-optimized NaCrGeRh structure.

Computed properties:
formation energy = 0.16 eV/atom
theoretical density = 5615 kg/m³
offset from the most stable computed form = 126 meV/atom
density of states at the Fermi level = 0.652 states/eV/atom
SG = No. 1

a = 2.902 Å, b = 4.255 Å, c = 6.431 Å
α = 96.80°, β = 90.19°, γ = 109.85°
Fractional positions:
Na 0.000 0.000 0.000
Cr 0.500 0.001 0.484
Ge 0.240 0.479 0.673
Rh 0.763 0.526 0.336

***

Density functional theory data (PBE) for a geometry-optimized NaCrGeS4 structure.

Computed properties:
theoretical density = 2669 kg/m³
energy relative to the elements, uncorrected = -524.1 meV per atom
density of states at the Fermi level = 0.300 states/eV/atom
SG = No. 63

a = 6.732 Å, b = 6.732 Å, c = 8.312 Å
α = 90.00°, β = 90.00°, γ = 114.28°
Fractional positions:
Na 0.000 0.000 0.000
Na 0.000 0.000 0.500
Cr 0.365 0.635 0.750
Cr 0.635 0.365 0.250
Ge 0.356 0.644 0.250
Ge 0.644 0.356 0.750
S 0.260 0.740 0.543
S 0.260 0.740 0.957
S 0.271 0.282 0.750
S 0.282 0.271 0.250
S 0.718 0.729 0.750
S 0.729 0.718 0.250
S 0.740 0.260 0.043
S 0.740 0.260 0.457

***

Density functional theory data (PBE) for a geometry-optimized Na3Cr2GeSe6 structure.

Computed properties:
theoretical density = 4590 kg/m³
energy relative to the elements, uncorrected = -740.0 meV per atom
density of states at the Fermi level = 0.029 states/eV/atom
SG = No. 12

a = 6.636 Å, b = 6.636 Å, c = 7.180 Å
α = 98.91°, β = 98.91°, γ = 120.03°
Fractional positions:
Na 0.000 0.000 0.000
Na 0.338 0.662 0.000
Na 0.662 0.338 0.000
Cr 0.167 0.833 0.500
Cr 0.833 0.167 0.500
Ge 0.500 0.500 0.500
Se 0.083 0.433 0.299
Se 0.218 0.218 0.701
Se 0.433 0.083 0.299
Se 0.567 0.917 0.701
Se 0.782 0.782 0.299
Se 0.917 0.567 0.701

***

Density functional theory data (PBE) for a geometry-optimized Na3Cr3GeSe8 structure.

Computed properties:
theoretical density = 4595 kg/m³
energy relative to the elements, uncorrected = -695.8 meV per atom
density of states at the Fermi level = 0.412 states/eV/atom
SG = No. 166

a = 8.193 Å, b = 8.193 Å, c = 8.193 Å
α = 54.16°, β = 54.16°, γ = 54.16°
Fractional positions:
Na 0.000 0.500 0.500
Na 0.500 0.000 0.500
Na 0.500 0.500 0.000
Cr 0.000 0.000 0.500
Cr 0.000 0.500 0.000
Cr 0.500 0.000 0.000
Ge 0.500 0.500 0.500
Se 0.226 0.737 0.737
Se 0.233 0.233 0.233
Se 0.263 0.263 0.774
Se 0.263 0.774 0.263
Se 0.737 0.226 0.737
Se 0.737 0.737 0.226
Se 0.767 0.767 0.767
Se 0.774 0.263 0.263

***

Density functional theory data (PBE) for a geometry-optimized Na2CrGeTe4 structure.

Computed properties:
theoretical density = 5195 kg/m³
energy relative to the elements, uncorrected = -404.3 meV per atom
density of states at the Fermi level = 0.358 states/eV/atom
SG = No. 74

a = 8.505 Å, b = 8.505 Å, c = 8.505 Å
α = 120.61°, β = 119.25°, γ = 90.13°
Fractional positions:
Na 0.000 0.000 0.000
Na 0.500 0.000 0.000
Na 0.500 0.000 0.500
Na 0.500 0.500 0.500
Cr 0.000 0.000 0.500
Cr 0.000 0.500 0.000
Ge 0.000 0.500 0.500
Ge 0.500 0.500 0.000
Te 0.204 0.740 0.463
Te 0.223 0.260 0.963
Te 0.230 0.243 0.513
Te 0.230 0.717 0.987
Te 0.770 0.283 0.013
Te 0.770 0.757 0.487
Te 0.777 0.740 0.037
Te 0.796 0.260 0.537

***

Density functional theory data (PBE) for a geometry-optimized NaCr2GeTe6 structure.

Computed properties:
theoretical density = 5786 kg/m³
energy relative to the elements, uncorrected = -114.7 meV per atom
density of states at the Fermi level = 0.746 states/eV/atom
SG = No. 1

a = 7.167 Å, b = 7.171 Å, c = 7.471 Å
α = 118.67°, β = 90.01°, γ = 119.94°
Fractional positions:
Na 0.000 0.000 0.000
Cr 0.207 0.414 0.621
Cr 0.714 0.428 0.142
Ge 0.518 0.037 0.556
Te 0.097 0.542 0.357
Te 0.345 0.285 0.849
Te 0.446 0.262 0.358
Te 0.564 0.910 0.849
Te 0.815 0.912 0.357
Te 0.938 0.503 0.849

***

Calculated V (A^3/atom), listed in the same order as above: 15.38, 15.16, 16.30, 20.43, 16.42, 22.10, 18.52, 24.52, 21.69, 22.39, 27.21, 27.70